(1)
8
Lattice="-5.4819 5.4819 2.7524 5.4819 -5.4819 2.7524 5.4819 5.4819 -2.7524" Properties=species:S:1:pos:R:3 comment="ZnI (PBE, relaxed)" e_tot_ev_per_fu=-2.87 magnetic_moment_mub_per_fu=0.00 spacegroup="I4/m (87)" pbc="T T T"
Zn 7.4921 1.0295 0.0000
Zn 1.0295 3.4717 0.0000
Zn 4.4524 2.0102 2.7524
Zn -2.0102 4.4524 2.7524
I 4.5255 2.2919 0.0000
I 3.1900 -0.9564 2.7524
I 2.2919 6.4383 0.0000
I 0.9564 3.1900 2.7524

(2)
8
Lattice="-6.0534 6.0534 1.9633 6.0534 -6.0534 1.9633 6.0534 6.0534 -1.9633" Properties=species:S:1:pos:R:3 comment="ZnI (PBE, relaxed)" e_tot_ev_per_fu=-3.19 magnetic_moment_mub_per_fu=0.00 spacegroup="I4/m (87)" pbc="T T T"
Zn 8.5577 2.2519 0.0000
Zn 2.2519 3.5492 0.0000
Zn 3.8016 2.5042 1.9633
Zn -2.5042 3.8016 1.9633
I 5.8500 2.8377 0.0000
I 3.2157 -0.2034 1.9633
I 2.8377 6.2569 0.0000
I 0.2034 3.2157 1.9633

(3)
8
Lattice="-4.1227 4.1227 4.9164 4.1227 -4.1227 4.9164 4.1227 4.1227 -4.9164" Properties=species:S:1:pos:R:3 comment="ZnI3 (PBE, relaxed)" e_tot_ev_per_fu=-6.37 magnetic_moment_mub_per_fu=1.00 spacegroup="I-42d (122)" pbc="T T T"
Zn 0.0000 0.0000 0.0000
Zn 0.0000 4.1227 2.4582
I 6.1840 1.1821 -1.2291
I 4.1227 0.0000 2.4582
I 1.1821 2.0613 1.2291
I 0.0000 0.0000 4.9164
I -2.0613 2.9406 3.6873
I 2.9406 2.0613 6.1455

(4)
16
Lattice="8.3296 0.0000 0.0000 0.0000 10.0837 0.0000 0.0000 0.0000 7.2827" Properties=species:S:1:pos:R:3 comment="ZnI (PBE, relaxed)" e_tot_ev_per_fu=-3.48 magnetic_moment_mub_per_fu=0.00 spacegroup="Pnma (62)" pbc="T T T"
Zn 1.1091 1.3314 1.0481
Zn 1.1091 3.7105 1.0481
Zn 3.0557 6.3732 4.6894
Zn 3.0557 8.7523 4.6894
Zn 5.2739 1.3314 2.5933
Zn 5.2739 3.7105 2.5933
Zn 7.2205 6.3732 6.2347
Zn 7.2205 8.7523 6.2347
I 1.0041 0.3473 5.5362
I 1.0041 4.6946 5.5362
I 3.1607 5.3891 1.8948
I 3.1607 9.7364 1.8948
I 5.1689 0.3473 5.3879
I 5.1689 4.6946 5.3879
I 7.3255 5.3891 1.7465
I 7.3255 9.7364 1.7465

(5)
2
Lattice="0.0000 3.4488 3.4488 3.4488 0.0000 3.4488 3.4488 3.4488 0.0000" Properties=species:S:1:pos:R:3 comment="ZnI (PBE, relaxed)" e_tot_ev_per_fu=-2.61 magnetic_moment_mub_per_fu=0.00 spacegroup="F-43m (216)" pbc="T T T"
Zn 0.0000 0.0000 0.0000
I 5.1732 5.1732 5.1732

(6)
7
Lattice="5.4514 -6.5254 0.0000 5.4514 6.5254 0.0000 0.0000 0.0000 9.0592" Properties=species:S:1:pos:R:3 comment="ZnI6 (PBE, relaxed)" e_tot_ev_per_fu=-11.24 magnetic_moment_mub_per_fu=0.00 spacegroup="Cmmm (65)" pbc="T T T"
Zn 0.0000 0.0000 0.0000
I 0.0000 0.0000 2.4133
I 0.0000 0.0000 6.6459
I 4.0490 2.4595 0.0000
I 6.8539 2.4595 0.0000
I 4.0490 -2.4595 0.0000
I 6.8539 -2.4595 0.0000

(7)
12
Lattice="10.2401 0.0000 0.0000 -5.1201 8.8682 0.0000 0.0000 0.0000 5.4984" Properties=species:S:1:pos:R:3 comment="ZnI (PBE, relaxed)" e_tot_ev_per_fu=-2.86 magnetic_moment_mub_per_fu=0.00 spacegroup="P6_3/m (176)" pbc="T T T"
Zn -3.0483 6.0123 1.3746
Zn 1.4374 3.2222 1.3746
Zn 3.5092 0.3663 4.1238
Zn 1.6109 8.5019 1.3746
Zn 3.6826 5.6460 4.1238
Zn 8.1683 2.8559 4.1238
I -2.8074 6.1878 4.1238
I 1.1650 3.3430 4.1238
I 3.4776 0.6626 1.3746
I 1.6424 8.2056 4.1238
I 3.9551 5.5251 1.3746
I 7.9274 2.6804 1.3746

(8)
8
Lattice="0.0000 5.6796 13.6786 2.2496 0.0000 13.6786 2.2496 5.6796 0.0000" Properties=species:S:1:pos:R:3 comment="ZnI (PBE, relaxed)" e_tot_ev_per_fu=-3.40 magnetic_moment_mub_per_fu=0.00 spacegroup="Fddd (70)" pbc="T T T"
Zn 0.5624 0.2338 3.4197
Zn 0.5624 2.6060 3.4197
Zn 3.9368 8.7532 23.9376
Zn 3.9368 11.1254 23.9376
I 1.6872 4.2597 1.6132
I 2.8120 7.0995 8.4525
I 1.6872 4.2597 18.9047
I 2.8120 7.0995 25.7440

(9)
4
Lattice="0.0000 4.0107 4.0107 4.0107 0.0000 4.0107 4.0107 4.0107 0.0000" Properties=species:S:1:pos:R:3 comment="ZnI3 (PBE, relaxed)" e_tot_ev_per_fu=-4.25 magnetic_moment_mub_per_fu=0.00 spacegroup="Fm-3m (225)" pbc="T T T"
Zn 0.0000 0.0000 0.0000
I 2.0054 2.0054 2.0054
I 4.0107 4.0107 4.0107
I 6.0161 6.0161 6.0161

(10)
12
Lattice="4.3135 0.0000 0.0000 0.0000 16.1660 0.0000 0.0000 0.0000 6.1769" Properties=species:S:1:pos:R:3 comment="ZnI (PBE, relaxed)" e_tot_ev_per_fu=-3.36 magnetic_moment_mub_per_fu=0.00 spacegroup="Pmmn (59)" pbc="T T T"
Zn 1.0784 0.3071 0.5353
Zn 1.0784 4.0415 1.4217
Zn 1.0784 7.7759 0.5353
Zn 3.2352 8.3901 5.6416
Zn 3.2352 12.1245 4.7552
Zn 3.2352 15.8589 5.6416
I 1.0784 1.8367 2.8411
I 1.0784 6.2463 2.8411
I 1.0784 12.1245 0.2022
I 3.2352 4.0415 5.9747
I 3.2352 9.9197 3.3358
I 3.2352 14.3293 3.3358

(11)
4
Lattice="4.2777 0.0000 0.0000 -2.1389 3.7046 0.0000 0.0000 0.0000 9.1004" Properties=species:S:1:pos:R:3 comment="ZnI (PBE, relaxed)" e_tot_ev_per_fu=-2.70 magnetic_moment_mub_per_fu=0.00 spacegroup="P6_3mc (186)" pbc="T T T"
Zn 0.0000 2.4697 0.0000
Zn 2.1389 1.2349 4.5502
I 0.0000 2.4697 2.9021
I 2.1389 1.2349 7.4523

(12)
2
Lattice="0.0000 3.0705 3.0705 3.0705 0.0000 3.0705 3.0705 3.0705 0.0000" Properties=species:S:1:pos:R:3 comment="ZnI (PBE, relaxed)" e_tot_ev_per_fu=-2.85 magnetic_moment_mub_per_fu=0.00 spacegroup="Fm-3m (225)" pbc="T T T"
Zn 0.0000 0.0000 0.0000
I 3.0705 3.0705 3.0705